Entry 1:
This record from Alexandria describes an optimized crystal structure of Na2Ge3Pt6. The functional is PBE-GGA. Values from VASP.

Computed properties:
E = -57.25 eV per formula unit
spin magnetization = 0.00 μB/f.u.

Quantum ESPRESSO input file:
```
&SYSTEM
  ibrav = 0, nat = 11, ntyp = 3
/
ATOMIC_SPECIES
Na 22.99 Na.upf
Ge 72.64 Ge.upf
Pt 195.08 Pt.upf
ATOMIC_POSITIONS angstrom
Na 0.4906 -3.3263 2.6183
Na -0.4184 0.5214 4.2087
Ge -2.0410 -1.5372 2.5524
Ge -1.2246 -4.7568 0.4676
Ge -2.8711 2.2120 3.3481
Pt -2.0172 -2.4634 4.8067
Pt -2.4327 0.7693 1.4332
Pt 0.0160 -0.6203 1.5099
Pt 1.0901 -5.5874 0.8006
Pt -1.6868 -2.3880 0.1282
Pt -1.0339 3.4028 4.5166
CELL_PARAMETERS angstrom
-4.1393 -0.8514 -0.3060
1.3997 -7.1739 1.0279
-1.3274 4.3691 5.7991
```

=====

Entry 2:
This record from Alexandria describes an optimized crystal structure of Na3GePt. The functional is PBE-GGA. Values from VASP.

Computed properties:
energy above the most stable polymorph in this dataset = 0.610 eV per atom
E = -12.50 eV per formula unit
spin magnetization = 0.00 μB/f.u.

Quantum ESPRESSO input file:
```
&SYSTEM
  ibrav = 0, nat = 5, ntyp = 3
/
ATOMIC_SPECIES
Na 22.99 Na.upf
Ge 72.64 Ge.upf
Pt 195.08 Pt.upf
ATOMIC_POSITIONS angstrom
Na 0.0000 2.6726 0.0000
Na 0.0000 0.0000 2.6726
Na 2.6726 0.0000 0.0000
Ge 2.6726 2.6726 2.6726
Pt 0.0000 0.0000 0.0000
CELL_PARAMETERS angstrom
5.3453 0.0000 0.0000
0.0000 5.3453 0.0000
0.0000 0.0000 5.3453
```

=====

Entry 3:
This record from Alexandria describes an optimized crystal structure of NaGe6Pt12. The functional is PBE-GGA. Values from VASP.

Computed properties:
E = -107.57 eV per formula unit
spin magnetization = 0.00 μB/f.u.

Quantum ESPRESSO input file:
```
&SYSTEM
  ibrav = 0, nat = 19, ntyp = 3
/
ATOMIC_SPECIES
Na 22.99 Na.upf
Ge 72.64 Ge.upf
Pt 195.08 Pt.upf
ATOMIC_POSITIONS angstrom
Na 0.0000 0.0000 0.0000
Ge -2.4845 3.7143 0.2937
Ge 1.4112 2.6343 3.3353
Ge -2.7855 -0.1861 3.5017
Ge -4.5601 2.3944 2.4835
Ge -0.6643 1.3144 5.5250
Ge -0.3633 5.2148 2.3171
Pt -1.3121 5.9145 0.1129
Pt -2.8000 4.3297 2.7676
Pt -0.6184 3.7248 4.4709
Pt -0.1803 2.8832 1.2547
Pt -2.5304 1.3038 1.3479
Pt -0.3488 0.6990 3.0512
Pt 1.8217 1.5728 5.5609
Pt -5.2329 0.0557 3.0544
Pt -1.8368 -0.8858 5.7059
Pt -4.9705 3.4559 0.2579
Pt 2.0840 4.9730 2.7644
Pt -2.9686 2.1454 4.5641
CELL_PARAMETERS angstrom
-3.8318 5.5308 -2.8972
-4.5306 -3.5253 4.5511
5.2135 3.0231 4.1649
```

=====

Entry 4:
This record from Alexandria describes an optimized crystal structure of Na2Ge5Pt3. The functional is PBE-GGA. Values from VASP.

Computed properties:
energy above the most stable polymorph in this dataset = 0.000 eV per atom
E = -47.74 eV per formula unit
spin magnetization = 0.00 μB/f.u.

Quantum ESPRESSO input file:
```
&SYSTEM
  ibrav = 0, nat = 20, ntyp = 3
/
ATOMIC_SPECIES
Na 22.99 Na.upf
Ge 72.64 Ge.upf
Pt 195.08 Pt.upf
ATOMIC_POSITIONS angstrom
Na 1.9870 5.1781 11.6648
Na 0.7273 5.0006 4.2695
Na 3.4485 1.5392 7.4777
Na 2.1887 1.7168 0.0824
Ge 1.6360 2.6662 9.6042
Ge 1.2114 3.5616 7.1115
Ge 2.9644 0.1002 4.6357
Ge 0.4786 1.8892 2.8098
Ge 1.2118 6.4733 7.1136
Ge 3.9847 0.6054 10.6257
Ge 2.9640 3.0120 4.6335
Ge 3.6971 5.3506 8.9374
Ge 0.1910 4.0668 1.1215
Ge 2.5397 6.1276 2.1430
Pt 3.2645 5.0127 6.3974
Pt 2.5453 3.5585 2.1756
Pt 0.2305 6.6550 1.3532
Pt 0.9113 1.5513 5.3498
Pt 3.9453 3.1936 10.3940
Pt 1.6305 0.0972 9.5716
CELL_PARAMETERS angstrom
4.2267 0.0000 -0.7200
0.0000 6.9228 0.0000
-0.0509 0.0000 12.4672
```

=====

Entry 5:
This record from Alexandria describes an optimized crystal structure of Na3Ge7Pt2. The functional is PBE-GGA. Values from VASP.

Computed properties:
E = -49.79 eV per formula unit
spin magnetization = 0.00 μB/f.u.

Quantum ESPRESSO input file:
```
&SYSTEM
  ibrav = 0, nat = 12, ntyp = 3
/
ATOMIC_SPECIES
Na 22.99 Na.upf
Ge 72.64 Ge.upf
Pt 195.08 Pt.upf
ATOMIC_POSITIONS angstrom
Na -0.1159 -1.5298 -3.2022
Na 3.8455 -2.6381 -3.0310
Na 5.7511 -3.7495 -0.3242
Ge 8.3245 -2.0471 -0.9197
Ge 6.6958 -1.1757 -2.8769
Ge 0.0000 0.0000 0.0000
Ge 2.3644 -0.2986 -1.5449
Ge 1.6108 -2.6479 -0.2456
Ge 7.9858 -3.7397 -3.1096
Ge 3.9932 -1.1700 0.4123
Pt 8.0859 -2.5014 1.4351
Pt 2.6030 0.1557 -3.8997
CELL_PARAMETERS angstrom
-1.0923 -4.0419 -0.8906
0.8605 0.9823 -5.5138
9.8284 -3.3280 3.0492
```

=====

Entry 6:
This record from Alexandria describes an optimized crystal structure of NaGePt2. The functional is PBE-GGA. Values from VASP.

Computed properties:
E = -18.12 eV per formula unit
spin magnetization = 0.00 μB/f.u.

Quantum ESPRESSO input file:
```
&SYSTEM
  ibrav = 0, nat = 4, ntyp = 3
/
ATOMIC_SPECIES
Na 22.99 Na.upf
Ge 72.64 Ge.upf
Pt 195.08 Pt.upf
ATOMIC_POSITIONS angstrom
Na 0.0000 0.0000 0.0000
Ge 3.7693 -3.4982 2.8078
Pt 5.9910 -2.7669 1.7457
Pt 1.5476 -4.2295 3.8700
CELL_PARAMETERS angstrom
-0.4223 -0.7314 2.8954
-0.7614 -2.8211 0.7472
8.7224 -3.4439 1.9730
```

=====

Entry 7:
This record from Alexandria describes an optimized crystal structure of NaGePt3. The functional is PBE-GGA. Values from VASP.

Computed properties:
E = -23.35 eV per formula unit
spin magnetization = 0.00 μB/f.u.

Quantum ESPRESSO input file:
```
&SYSTEM
  ibrav = 0, nat = 5, ntyp = 3
/
ATOMIC_SPECIES
Na 22.99 Na.upf
Ge 72.64 Ge.upf
Pt 195.08 Pt.upf
ATOMIC_POSITIONS angstrom
Na -3.2470 -2.2059 -1.1243
Ge 0.0000 0.0000 0.0000
Pt -0.0542 -2.3503 -0.1753
Pt -2.0748 -0.0356 1.1187
Pt -1.1180 0.1800 -2.0677
CELL_PARAMETERS angstrom
-2.2359 0.3600 -4.1355
-0.1084 -4.7007 -0.3506
-4.1497 -0.0711 2.2374
```

=====

Entry 8:
This record from Alexandria describes an optimized crystal structure of NaGe3Pt5. The functional is PBE-GGA. Values from VASP.

Computed properties:
E = -49.21 eV per formula unit
spin magnetization = 0.00 μB/f.u.

Quantum ESPRESSO input file:
```
&SYSTEM
  ibrav = 0, nat = 18, ntyp = 3
/
ATOMIC_SPECIES
Na 22.99 Na.upf
Ge 72.64 Ge.upf
Pt 195.08 Pt.upf
ATOMIC_POSITIONS angstrom
Na 2.0250 4.0001 9.4880
Na 0.0000 2.5601 3.1627
Ge 0.0000 5.0543 11.9390
Ge 2.0250 5.1807 3.1627
Ge 0.0000 5.0543 7.0369
Ge 2.0250 1.5059 5.6137
Ge 0.0000 1.3796 9.4880
Ge 2.0250 1.5059 0.7116
Pt 2.0250 3.8887 5.4482
Pt 0.0000 2.6715 11.7735
Pt 0.0000 0.0000 6.3253
Pt 0.0000 0.0000 0.0000
Pt 0.0000 5.7484 1.7567
Pt 2.0250 0.8118 10.8939
Pt 2.0250 0.8118 8.0820
Pt 2.0250 3.8887 0.8771
Pt 0.0000 2.6715 7.2024
Pt 0.0000 5.7484 4.5686
CELL_PARAMETERS angstrom
4.0500 0.0000 0.0000
-2.0250 6.5602 0.0000
0.0000 0.0000 12.6506
```

=====

| no. | Fermi-level density of states (states/eV/cell) |
| --- | --- |
| 1 | 5.2 |
| 2 | 3.3 |
| 3 | 6.2 |
| 4 | 9.3 |
| 5 | 4.8 |
| 6 | 1.8 |
| 7 | 5.2 |
| 8 | 6.3 |